Pm4DyPb3 | PBE | relaxed

Cell lengths 8.132, 8.132, 6.380 Å; angles 106.33, 106.33, 38.60 degrees
Sites, in units of the cell vectors:
1 Pm 0.119 0.119 0.050
2 Pm 0.259 0.259 0.701
3 Pm 0.741 0.741 0.299
4 Pm 0.881 0.881 0.950
5 Dy 0.000 0.000 0.500
6 Pb 0.358 0.358 0.295
7 Pb 0.500 0.500 0.000
8 Pb 0.642 0.642 0.705

Calculated values
Its magnetization is 0.00 μB per formula unit. Its energy relative to the elements is -276.7 meV/atom. For the total energy, the calculation gives -4.618 eV per atom.

Hg3Br2O2 | PBE | relaxed

Cell lengths 6.750, 6.750, 6.744 Å; angles 101.69, 101.69, 38.38 degrees
Sites, in units of the cell vectors:
1 Hg 0.000 0.000 0.000
2 Hg 0.247 0.247 0.787
3 Hg 0.753 0.753 0.213
4 Br 0.382 0.382 0.567
5 Br 0.618 0.618 0.433
6 O 0.162 0.162 0.023
7 O 0.838 0.838 0.977

Calculated values
Its magnetization is 0.00 μB per formula unit. For the total energy, the calculation gives -2.364 eV per atom.

Nb2CdO | PBE | relaxed

Cell lengths 6.955, 6.955, 6.955 Å; angles 135.74, 135.74, 64.39 degrees
Sites, in units of the cell vectors:
1 Nb 0.375 0.229 0.354
2 Nb 0.771 0.125 0.146
3 Nb 0.875 0.021 0.646
4 Nb 0.979 0.625 0.854
5 Cd 0.250 0.750 0.500
6 Cd 0.500 0.500 0.000
7 O 0.000 0.000 0.000
8 O 0.750 0.250 0.500

Calculated values
Its magnetization is 0.00 μB per formula unit. For the relative energy among the computed polymorphs, the calculation gives 0.224 eV per atom. For the total energy, the calculation gives -6.667 eV per atom.